Li2ErSbSe4, relaxed, DFT PBE; raw formation energy = -1.162 eV/atom; magnetization = 0.0000 μB/atom; SG = No. 10
1.0
-3.831 0.167 1.309
-0.371 -6.901 -0.203
2.005 -2.695 6.212
Se Li Er Sb
4 2 1 1
direct
0.500 0.248 0.749
0.500 0.752 0.251
0.000 0.244 0.256
0.000 0.756 0.744
0.500 0.000 0.500
0.000 0.000 0.000
0.000 0.500 0.500
0.500 0.500 0.000